# PBE TbY3Al8, relaxed
# Energy of formation from the pure elements, eV per atom: -0.52
# Distance to the lowest polymorph of the same formula, eV per atom: 0.010
data_TbY3Al8
_chemical_formula_sum 'Tb1 Y3 Al8'
_cell_length_a 5.5549
_cell_length_b 5.5549
_cell_length_c 9.1569
_cell_angle_alpha 90.00
_cell_angle_beta 90.00
_cell_angle_gamma 120.00
_symmetry_space_group_name_H-M 'P 3 m 1'
_symmetry_Int_Tables_number 156
_symmetry_space_group_name_Hall 'P 3 -2"'
loop_
_atom_site_label
_atom_site_type_symbol
_atom_site_fract_x
_atom_site_fract_y
_atom_site_fract_z
Tb1 Tb 0.0000 0.0000 0.0000
Y1 Y 0.0000 0.0000 0.3638
Y2 Y 0.6667 0.3333 0.4996
Y3 Y 0.6667 0.3333 0.8644
Al1 Al 0.1623 0.3245 0.6820
Al2 Al 0.3333 0.6667 0.4325
Al3 Al 0.3333 0.6667 0.9320
Al4 Al 0.5044 0.0088 0.1822